Here is a relaxed Li7ZnCd3 crystal from Alexandria. Energies are from PBE-GGA.

The structure in POSCAR format:
```
Li7ZnCd3
1.0
1.483 -10.360 0.000
1.483 10.360 0.000
0.000 0.000 13.378
Li Zn Cd
14 2 6
Direct
0.015 0.985 0.634 Li
0.015 0.985 0.866 Li
0.111 0.889 0.250 Li
0.160 0.840 0.619 Li
0.160 0.840 0.881 Li
0.200 0.800 0.070 Li
0.200 0.800 0.430 Li
0.800 0.200 0.570 Li
0.800 0.200 0.930 Li
0.840 0.160 0.119 Li
0.840 0.160 0.381 Li
0.889 0.111 0.750 Li
0.985 0.015 0.134 Li
0.985 0.015 0.366 Li
0.405 0.595 0.250 Zn
0.595 0.405 0.750 Zn
0.259 0.741 0.250 Cd
0.420 0.580 0.527 Cd
0.420 0.580 0.973 Cd
0.580 0.420 0.027 Cd
0.580 0.420 0.473 Cd
0.741 0.259 0.750 Cd
```

For the density of states at the Fermi level, the calculation gives 0.252 states/eV/atom. As for the calculated volume: 411.01 Å³/cell. For the total energy, the calculation gives -1.7225 eV/atom.

Here is a relaxed Tm2MnPb crystal from Alexandria. Energies are from PBE-GGA.

The structure in POSCAR format:
```
Tm2MnPb
1.0
3.562 0.000 0.000
0.000 3.562 0.000
0.000 0.000 7.673
Tm Mn Pb
2 1 1
Direct
0.000 0.000 0.218 Tm
0.000 0.000 0.782 Tm
0.500 0.500 0.000 Mn
0.500 0.500 0.500 Pb
```

For the density of states at the Fermi level, the calculation gives 1.065 states/eV/atom. As for the calculated volume: 97.33 Å³/cell. For the total energy, the calculation gives -5.5834 eV/atom.

Here is a relaxed Eu2TlGe crystal from Alexandria. Energies are from PBE-GGA.

The structure in POSCAR format:
```
Eu2TlGe
1.0
3.828 0.000 0.000
0.000 3.828 0.000
0.000 0.000 7.799
Eu Tl Ge
2 1 1
Direct
0.000 0.000 0.222 Eu
0.000 0.000 0.778 Eu
0.500 0.500 0.500 Tl
0.500 0.500 0.000 Ge
```

For the density of states at the Fermi level, the calculation gives 2.599 states/eV/atom. As for the calculated volume: 114.25 Å³/cell. For the total energy, the calculation gives -7.3821 eV/atom.

Here is a relaxed B3IrF crystal from Alexandria. Energies are from PBE-GGA.

The structure in POSCAR format:
```
B3IrF
1.0
4.073 0.000 0.000
0.000 4.073 0.000
0.000 0.000 4.073
B Ir F
3 1 1
Direct
0.000 0.000 0.500 B
0.000 0.500 0.000 B
0.500 0.000 0.000 B
0.000 0.000 0.000 Ir
0.500 0.500 0.500 F
```

For the density of states at the Fermi level, the calculation gives 0.619 states/eV/atom. As for the calculated volume: 67.55 Å³/cell. Its energy above the lowest structure with this stoichiometry is 0 meV/atom.

Here is a relaxed PrCd2Hg crystal from Alexandria. Energies are from PBE-GGA.

The structure in POSCAR format:
```
PrCd2Hg
1.0
3.408 0.000 0.000
-1.704 2.952 0.000
0.000 0.000 34.112
Pr Cd Hg
3 6 3
Direct
0.000 0.000 0.000 Pr
0.333 0.667 0.667 Pr
0.667 0.333 0.333 Pr
0.000 0.000 0.094 Cd
0.000 0.000 0.906 Cd
0.333 0.667 0.572 Cd
0.333 0.667 0.761 Cd
0.667 0.333 0.239 Cd
0.667 0.333 0.428 Cd
0.000 0.000 0.500 Hg
0.333 0.667 0.167 Hg
0.667 0.333 0.833 Hg
```

For the density of states at the Fermi level, the calculation gives 0.997 states/eV/atom. As for the calculated volume: 343.16 Å³/cell. Its energy above the lowest structure with this stoichiometry is 508 meV/atom.

Here is a relaxed TiGe crystal from Alexandria. Energies are from PBE-GGA.

The structure in POSCAR format:
```
TiGe
1.0
5.171 0.000 0.000
0.000 5.278 0.000
0.000 0.000 9.530
Ti Ge
8 8
Direct
0.098 0.108 0.218 Ti
0.159 0.377 0.542 Ti
0.341 0.623 0.042 Ti
0.402 0.892 0.718 Ti
0.598 0.392 0.782 Ti
0.659 0.123 0.458 Ti
0.841 0.877 0.958 Ti
0.902 0.608 0.282 Ti
0.091 0.533 0.798 Ge
0.173 0.885 0.465 Ge
0.327 0.115 0.965 Ge
0.409 0.467 0.298 Ge
0.591 0.967 0.202 Ge
0.673 0.615 0.535 Ge
0.827 0.385 0.035 Ge
0.909 0.033 0.702 Ge
```

For the density of states at the Fermi level, the calculation gives 0.835 states/eV/atom. As for the calculated volume: 260.13 Å³/cell. For the total energy, the calculation gives -6.7643 eV/atom.

Here is a relaxed La3HoO6 crystal from Alexandria. Energies are from PBE-GGA.

The structure in POSCAR format:
```
La3HoO6
1.0
5.077 2.931 3.941
-5.077 2.931 3.941
0.000 -5.862 3.941
La Ho O
6 2 12
Direct
0.057 0.752 0.563 La
0.248 0.437 0.943 La
0.437 0.943 0.248 La
0.563 0.057 0.752 La
0.752 0.563 0.057 La
0.943 0.248 0.437 La
0.000 0.000 0.000 Ho
0.500 0.500 0.500 Ho
0.035 0.693 0.905 O
0.095 0.965 0.307 O
0.193 0.437 0.586 O
0.307 0.095 0.965 O
0.414 0.807 0.563 O
0.437 0.586 0.193 O
0.563 0.414 0.807 O
0.586 0.193 0.437 O
0.693 0.905 0.035 O
0.807 0.563 0.414 O
0.905 0.035 0.693 O
0.965 0.307 0.095 O
```

For the density of states at the Fermi level, the calculation gives 0.000 states/eV/atom. As for the calculated volume: 351.94 Å³/cell. For the total energy, the calculation gives -8.4039 eV/atom.

Here is a relaxed Tb3NpTl4Te8 crystal from Alexandria. Energies are from PBE-GGA.

The structure in POSCAR format:
```
Tb3NpTl4Te8
1.0
4.477 2.585 8.169
-4.477 2.585 8.169
0.000 -5.170 8.169
Tb Np Tl Te
3 1 4 8
Direct
0.000 0.500 0.500 Tb
0.500 0.000 0.500 Tb
0.500 0.500 0.000 Tb
0.000 0.000 0.000 Np
0.000 0.000 0.500 Tl
0.000 0.500 0.000 Tl
0.500 0.000 0.000 Tl
0.500 0.500 0.500 Tl
0.240 0.240 0.735 Te
0.240 0.735 0.240 Te
0.262 0.262 0.262 Te
0.265 0.760 0.760 Te
0.735 0.240 0.240 Te
0.738 0.738 0.738 Te
0.760 0.265 0.760 Te
0.760 0.760 0.265 Te
```

For the density of states at the Fermi level, the calculation gives 0.413 states/eV/atom. As for the calculated volume: 567.24 Å³/cell. For the total energy, the calculation gives -4.7693 eV/atom.

Here is a relaxed SrMn crystal from Alexandria. Energies are from PBE-GGA.

The structure in POSCAR format:
```
SrMn
1.0
3.902 0.000 0.000
-1.951 3.379 0.000
0.000 0.000 14.923
Sr Mn
3 3
Direct
0.000 0.000 0.000 Sr
0.333 0.667 0.667 Sr
0.667 0.333 0.333 Sr
0.000 0.000 0.500 Mn
0.333 0.667 0.167 Mn
0.667 0.333 0.833 Mn
```

For the density of states at the Fermi level, the calculation gives 1.412 states/eV/atom. As for the calculated volume: 196.75 Å³/cell. For the total energy, the calculation gives -4.5590 eV/atom.

Here is a relaxed ScP crystal from Alexandria. Energies are from PBE-GGA.

The structure in POSCAR format:
```
ScP
1.0
3.448 0.000 0.000
0.000 3.448 0.000
0.000 0.000 2.877
Sc P
1 1
Direct
0.000 0.000 0.000 Sc
0.500 0.500 0.500 P
```

For the density of states at the Fermi level, the calculation gives 0.588 states/eV/atom. As for the calculated volume: 34.21 Å³/cell. For the total energy, the calculation gives -6.8284 eV/atom.

Here is a relaxed PmEuNi crystal from Alexandria. Energies are from PBE-GGA.

The structure in POSCAR format:
```
PmEuNi
1.0
6.919 0.000 0.000
0.000 6.919 0.000
0.000 0.000 6.919
Pm Eu Ni
4 4 4
Direct
0.000 0.000 0.000 Pm
0.000 0.500 0.500 Pm
0.500 0.000 0.500 Pm
0.500 0.500 0.000 Pm
0.000 0.000 0.500 Eu
0.000 0.500 0.000 Eu
0.500 0.000 0.000 Eu
0.500 0.500 0.500 Eu
0.250 0.250 0.750 Ni
0.250 0.750 0.250 Ni
0.750 0.250 0.250 Ni
0.750 0.750 0.750 Ni
```

For the density of states at the Fermi level, the calculation gives 0.995 states/eV/atom. As for the calculated volume: 331.23 Å³/cell. Its energy above the lowest structure with this stoichiometry is 91 meV/atom.

Here is a relaxed ZnTeSeBr2 crystal from Alexandria. Energies are from PBE-GGA.

The structure in POSCAR format:
```
ZnTeSeBr2
1.0
5.604 0.000 0.000
0.000 5.604 0.000
0.000 0.000 5.458
Zn Te Se Br
1 1 1 2
Direct
0.000 0.000 0.000 Zn
0.500 0.500 0.500 Te
0.500 0.500 0.000 Se
0.000 0.500 0.500 Br
0.500 0.000 0.500 Br
```

For the density of states at the Fermi level, the calculation gives 1.042 states/eV/atom. As for the calculated volume: 171.44 Å³/cell. Its energy above the lowest structure with this stoichiometry is 106 meV/atom.